# NaErZnTe3

NaErZnTe3 after structural relaxation (PBE-GGA, OQMD).

total magnetization	0.00	μB per formula unit
offset from the most stable computed form	114	meV per atom

```
NaErZnTe3
1.0
-3.968 -0.851 7.725
3.940 -0.385 1.981
0.596 17.747 2.262
Er Na Te Zn
4 4 12 4
Cartesian
-0.036 0.481 2.637
-1.775 7.325 7.426
2.344 9.186 4.542
0.604 16.030 9.331
0.903 3.008 6.206
2.933 4.779 2.515
-2.364 11.732 9.453
-0.335 13.502 5.762
-1.464 0.446 5.471
-0.960 0.302 9.387
0.020 3.474 3.109
-1.922 4.312 7.132
1.225 6.719 6.288
0.745 7.594 2.466
-0.177 8.916 9.502
-0.656 9.792 5.681
2.490 12.198 4.836
0.549 13.037 8.860
1.529 16.208 2.582
2.033 16.065 6.497
-2.449 1.835 7.700
-0.348 5.759 4.284
0.917 10.752 7.685
3.018 14.675 4.268
```

# Li2Ta2AlGaIr2

Li2Ta2AlGaIr2 after structural relaxation (PBE-GGA, OQMD).

total magnetization	0.00	μB per formula unit

```
Li2Ta2AlGaIr2
1.0
4.350 0.000 0.000
0.000 4.350 0.000
0.000 0.000 6.153
Al Ga Ir Li Ta
1 1 2 2 2
Cartesian
2.175 2.175 3.076
0.000 0.000 0.000
0.000 2.175 1.558
2.175 0.000 4.595
2.175 0.000 1.532
0.000 2.175 4.620
2.175 2.175 0.000
0.000 0.000 3.076
```

# Er4Tm3Ni2Se2

Er4Tm3Ni2Se2 after structural relaxation (PBE-GGA, OQMD).

total magnetization	0.00	μB per formula unit

```
Er4Tm3Ni2Se2
1.0
2.485 -4.751 7.208
0.033 8.963 0.605
-3.637 -8.213 0.152
Er Ni Se Tm
4 2 2 3
Cartesian
0.519 -0.519 2.984
0.633 -2.913 5.898
-2.175 -1.796 0.753
-2.828 -5.474 1.286
1.623 0.086 7.637
-1.466 -1.954 4.284
0.041 0.069 0.127
-0.746 2.141 3.655
1.703 2.848 5.283
-0.215 -3.848 2.787
-0.639 -8.619 5.495
```

# Pm2Ir2Se

Pm2Ir2Se after structural relaxation (PBE-GGA, OQMD).

total magnetization	0.02	μB per formula unit

```
Pm2Ir2Se
1.0
4.266 0.000 0.000
0.000 13.699 0.000
0.000 0.000 3.947
Ir Pm Se
4 4 2
Cartesian
3.566 2.701 0.000
1.433 4.149 0.000
2.833 9.550 0.000
0.700 10.998 0.000
1.425 1.836 1.973
3.558 5.014 1.973
0.708 8.685 1.973
2.841 11.863 1.973
0.000 0.000 0.000
2.133 6.849 0.000
```

# NaIrAuO3

NaIrAuO3 after structural relaxation (PBE-GGA, OQMD).

total magnetization	1.00	μB per formula unit

```
NaIrAuO3
1.0
-3.895 -7.547 1.811
2.007 -0.455 2.421
-7.388 5.532 7.165
Au Ir Na O
4 4 4 12
Cartesian
-2.591 -3.021 1.580
-5.740 -5.370 5.836
-4.539 3.128 4.351
-7.688 0.779 8.606
-3.549 -6.213 1.776
-3.797 -0.271 5.183
-6.482 -1.971 5.004
-6.730 3.970 8.411
-2.069 0.272 1.767
-3.519 -3.349 4.374
-6.759 1.107 5.813
-8.210 -2.515 8.420
-1.314 -1.606 0.788
-3.481 -7.090 3.640
-3.879 -4.401 2.389
-2.303 0.174 4.027
-4.871 -1.343 3.786
-5.251 -3.365 5.807
-5.027 1.123 4.379
-5.408 -0.900 6.400
-7.976 -2.417 6.159
-6.400 2.159 7.797
-6.797 4.848 6.547
-8.965 -0.637 9.399
```

# ScTlCoPd

ScTlCoPd after structural relaxation (PBE-GGA, OQMD).

total magnetization	1.44	μB per formula unit
offset from the most stable computed form	188	meV per atom

```
ScTlCoPd
1.0
0.000 3.272 3.272
3.272 0.000 3.272
3.272 3.272 0.000
Co Pd Sc Tl
1 1 1 1
Cartesian
4.908 4.908 4.908
3.272 3.272 3.272
1.636 1.636 1.636
0.000 0.000 0.000
```

# AgIrNO

AgIrNO after structural relaxation (PBE-GGA, OQMD).

total magnetization	0.01	μB per formula unit
offset from the most stable computed form	0	meV per atom

```
AgIrNO
1.0
2.233 2.363 0.615
-4.753 4.221 1.033
-0.035 -1.199 4.738
Ag Ir N O
2 2 2 2
Cartesian
-3.023 2.172 2.630
-0.653 -0.137 2.899
-1.111 3.156 0.808
-3.522 4.076 6.029
-4.388 3.682 1.784
-2.034 0.793 4.342
0.014 1.861 1.700
-2.381 3.358 4.644
```

# Rb2TeAu2Se

Rb2TeAu2Se after structural relaxation (PBE-GGA, OQMD).

```
Rb2TeAu2Se
1.0
-1.010 -3.482 6.144
1.512 4.480 2.787
-4.822 2.542 0.648
Au Rb Se Te
2 2 1 1
Cartesian
-3.537 6.172 4.879
-4.069 4.341 8.111
-1.220 2.589 1.267
-2.632 2.771 5.279
-2.601 5.517 2.699
-1.200 -0.267 3.793
```

# LaTePbAuSe2

LaTePbAuSe2 after structural relaxation (PBE-GGA, OQMD).

total magnetization	0.00	μB per formula unit

```
LaTePbAuSe2
1.0
0.643 4.723 -5.748
-4.580 -4.019 4.316
-1.031 8.936 7.227
Au La Pb Se Te
2 2 2 4 2
Cartesian
-4.695 -1.545 5.847
-0.273 11.185 -0.051
-1.968 0.352 -0.716
-2.484 4.820 2.898
-1.114 4.448 -1.052
-3.854 5.192 6.848
-3.914 -2.187 3.386
-4.291 1.077 6.026
-0.677 8.563 -0.231
-1.053 11.826 2.409
-2.764 1.686 2.127
-2.204 7.954 3.668
```

# HfPbAu

HfPbAu after structural relaxation (PBE-GGA, OQMD).

total magnetization	0.01	μB per formula unit

```
HfPbAu
1.0
3.601 0.000 0.000
0.000 3.601 0.000
0.000 0.000 10.189
Au Hf Pb
2 2 2
Cartesian
0.000 1.800 0.754
1.800 0.000 9.436
1.800 0.000 2.135
0.000 1.800 8.055
0.000 1.800 3.989
1.800 0.000 6.201
```

# BaHf2

BaHf2 after structural relaxation (PBE-GGA, OQMD).

total magnetization	0.01	μB per formula unit
offset from the most stable computed form	127	meV per atom

```
BaHf2
1.0
3.343 0.000 0.000
-1.671 2.895 0.000
0.000 0.000 17.672
Ba Hf
2 4
Cartesian
0.000 0.000 4.418
0.000 0.000 13.254
0.000 1.930 1.159
0.000 1.930 7.677
1.671 0.965 9.995
1.671 0.965 16.513
```

# TmTlO3

TmTlO3 after structural relaxation (PBE-GGA, OQMD).

total magnetization	0.00	μB per formula unit

```
TmTlO3
1.0
2.967 -1.713 -4.626
-2.967 -1.713 -4.626
0.000 3.426 -4.626
O Tl Tm
6 2 2
Cartesian
1.058 -1.593 -5.782
-0.850 -1.713 -8.095
-1.908 -0.120 -5.782
1.908 0.120 -8.095
0.850 1.713 -5.782
-1.058 1.593 -8.095
0.000 0.000 0.000
0.000 0.000 -6.939
0.000 0.000 -3.469
0.000 0.000 -10.408
```

# KNdHgSe3

KNdHgSe3 after structural relaxation (PBE-GGA, OQMD).

total magnetization	0.01	μB per formula unit

```
KNdHgSe3
1.0
-5.588 -0.990 -6.483
1.742 -3.891 -0.907
-4.658 -4.107 8.663
Hg K Nd Se
2 2 2 6
Cartesian
-0.606 -1.535 0.186
-7.898 -7.453 1.087
-3.930 -4.586 -3.585
-4.574 -4.402 4.858
-2.144 -4.731 0.469
-6.360 -4.256 0.805
-0.308 -3.377 -1.812
-4.232 -2.957 -0.680
-1.603 -2.505 2.428
-6.902 -6.483 -1.155
-4.272 -6.031 1.954
-8.196 -5.611 3.085
```

# LiLuSeO

LiLuSeO after structural relaxation (PBE-GGA, OQMD).

total magnetization	0.00	μB per formula unit
offset from the most stable computed form	54	meV per atom

```
LiLuSeO
1.0
-3.557 -2.701 4.537
5.545 -4.000 1.966
2.408 4.814 3.004
Li Lu O Se
4 4 4 4
Cartesian
-1.635 -3.236 4.700
4.929 -1.131 3.341
-0.533 -0.756 6.165
6.031 1.349 4.806
2.066 -2.835 4.387
-0.306 -0.426 3.109
4.703 -1.461 6.397
2.330 0.948 5.119
-0.019 -2.508 3.779
4.242 -2.530 4.590
0.155 0.643 4.916
4.415 0.621 5.727
2.596 -5.069 6.007
2.463 -0.572 2.659
1.933 -1.315 6.847
1.801 3.182 3.499
```

# CoSb2Mo

CoSb2Mo after structural relaxation (PBE-GGA, OQMD).

total magnetization	0.93	μB per formula unit

```
CoSb2Mo
1.0
4.629 4.770 1.788
-1.301 0.707 6.722
1.227 -5.878 -3.366
Co Mo Sb
2 2 4
Cartesian
0.000 0.000 0.000
3.760 0.816 1.339
1.664 2.738 4.255
0.795 -1.216 3.806
0.595 2.258 6.649
0.860 -2.222 -0.573
2.863 0.452 3.590
4.792 -1.289 0.623
```

# Li2ZnGa2PdPt2

Li2ZnGa2PdPt2 after structural relaxation (PBE-GGA, OQMD).

total magnetization	0.00	μB per formula unit

```
Li2ZnGa2PdPt2
1.0
-2.720 1.735 -2.814
-2.996 0.245 3.047
2.059 5.761 1.561
Ga Li Pd Pt Zn
2 2 1 2 1
Cartesian
0.000 0.000 0.000
-1.829 3.870 0.897
-0.844 2.312 -1.016
0.044 4.439 2.693
-2.858 0.990 0.117
-0.946 1.667 1.942
0.147 5.084 -0.264
1.030 2.881 0.780
```

# TlHgCl6

TlHgCl6 after structural relaxation (PBE-GGA, OQMD).

```
TlHgCl6
1.0
6.254 0.000 0.000
2.566 5.795 0.000
3.017 1.388 6.073
Cl Hg Tl
6 1 1
Cartesian
4.549 5.842 1.412
4.868 1.861 1.543
7.923 3.688 1.580
3.914 3.494 4.494
6.969 5.321 4.530
7.287 1.341 4.662
5.918 3.591 3.037
0.000 0.000 0.000
```

# Tm3Hf3Bi2Ir

Tm3Hf3Bi2Ir after structural relaxation (PBE-GGA, OQMD).

total magnetization	0.82	μB per formula unit
offset from the most stable computed form	0	meV per atom

```
Tm3Hf3Bi2Ir
1.0
-6.850 -3.987 1.004
6.937 -3.404 2.028
-0.340 1.521 3.719
Bi Hf Ir Tm
2 3 1 3
Cartesian
-2.424 -3.032 3.204
2.171 -2.838 3.546
-5.462 -2.319 2.635
-0.150 -0.921 2.549
5.189 -1.869 3.426
0.000 0.000 0.000
-2.670 -1.554 0.391
2.704 -1.327 0.790
0.053 -4.511 1.850
```

# Ho2Al3Ga3

Ho2Al3Ga3 after structural relaxation (PBE-GGA, OQMD).

total magnetization	0.00	μB per formula unit
offset from the most stable computed form	5	meV per atom

```
Ho2Al3Ga3
1.0
6.234 0.000 0.000
0.000 4.572 0.000
-3.095 0.000 5.426
Al Ga Ho
3 3 2
Cartesian
4.879 0.000 0.775
1.746 2.286 4.649
-1.736 2.286 4.649
1.411 0.000 0.782
-0.019 2.286 1.625
3.139 0.000 3.803
3.112 2.286 1.819
0.021 0.000 3.602
```

# Rb4AsAu2N

Rb4AsAu2N after structural relaxation (PBE-GGA, OQMD).

```
Rb4AsAu2N
1.0
-4.331 2.855 4.815
-2.258 -5.589 1.283
4.859 1.487 3.489
As Au N Rb
1 2 1 4
Cartesian
1.825 -2.879 3.348
-0.003 -1.119 3.599
-1.888 0.123 5.694
-1.482 0.350 3.661
-3.483 -2.521 3.563
-0.641 -5.012 2.395
1.204 2.139 5.016
4.043 -0.355 3.847
```

Number 1: energy -21.76 eV/f.u.. Number 2: energy -57.04 eV/f.u.. Number 3: energy -58.79 eV/f.u.. Number 4: energy -34.69 eV/f.u.. Number 5: energy -32.63 eV/f.u.. Number 6: energy -21.36 eV/f.u.. Number 7: energy -23.63 eV/f.u.. Number 8: energy -19.31 eV/f.u.. Number 9: energy -27.64 eV/f.u.. Number 10: energy -17.40 eV/f.u.. Number 11: energy -20.25 eV/f.u.. Number 12: energy -31.07 eV/f.u.. Number 13: energy -23.75 eV/f.u.. Number 14: energy -24.24 eV/f.u.. Number 15: energy -23.11 eV/f.u.. Number 16: energy -33.27 eV/f.u.. Number 17: energy -16.90 eV/f.u.. Number 18: energy -65.19 eV/f.u.. Number 19: energy -33.26 eV/f.u.. Number 20: energy -24.55 eV/f.u..